# AcPm3Ir

A relaxed structure of AcPm3Ir (PBE, Alexandria).

Geometry as extended XYZ:
```
10
Lattice="7.920 0.000 0.000 0.000 6.813 0.000 0.000 0.000 6.518" Properties=species:S:1:pos:R:3 pbc="T T T"
Ac 0.000 1.032 0.000
Ac 3.960 5.781 3.259
Pm 0.000 5.726 3.160
Pm 1.972 2.219 3.233
Pm 1.988 4.595 6.492
Pm 3.960 1.087 6.419
Pm 5.932 4.595 6.492
Pm 5.948 2.219 3.233
Ir 0.000 3.464 4.836
Ir 3.960 3.349 1.577
```

Values from the calculation:
mass density = 8065 kg/m3
relative energy among the computed polymorphs = 0.00 kJ per mole of atoms
energy = -28.60 eV/f.u.